No. 1
# KAlAs (PBE, optimized geometry)
data_KAlAs
_cell_length_a 3.6738
_cell_length_b 3.6738
_cell_length_c 12.0790
_cell_angle_alpha 90.00
_cell_angle_beta 90.00
_cell_angle_gamma 90.00
_symmetry_space_group_name_H-M 'I 4 m m'
_symmetry_Int_Tables_number 107
_symmetry_space_group_name_Hall 'I 4 -2'
loop_
_atom_site_label
_atom_site_type_symbol
_atom_site_fract_x
_atom_site_fract_y
_atom_site_fract_z
K1 K 0.0000 0.0000 0.0000
Al1 Al 0.0000 0.0000 0.7273
As1 As 0.0000 0.0000 0.2795
# - formation energy (kJ/mol of formula units) = -34
# - density of states at the Fermi level (states/eV/cell) = 2.9
# - magnetic moment (μB/atom) = 0.00

=====

No. 2
# CsHf3Se6 (PBE, optimized geometry)
data_CsHf3Se6
_cell_length_a 12.1638
_cell_length_b 3.7950
_cell_length_c 12.1999
_cell_angle_alpha 90.00
_cell_angle_beta 106.63
_cell_angle_gamma 90.00
_symmetry_space_group_name_H-M 'P 1 21/m 1'
_symmetry_Int_Tables_number 11
_symmetry_space_group_name_Hall '-P 2yb'
loop_
_atom_site_label
_atom_site_type_symbol
_atom_site_fract_x
_atom_site_fract_y
_atom_site_fract_z
Cs1 Cs 0.1024 0.2500 0.3805
Hf1 Hf 0.1515 0.2500 0.0364
Hf2 Hf 0.3092 0.7500 0.7388
Hf3 Hf 0.4651 0.7500 0.3513
Se1 Se 0.0486 0.7500 0.1310
Se2 Se 0.1560 0.2500 0.6681
Se3 Se 0.2466 0.7500 0.9446
Se4 Se 0.3180 0.2500 0.2472
Se5 Se 0.3757 0.7500 0.5408
Se6 Se 0.4622 0.2500 0.8341
# - formation energy without anion corrections (eV per atom) = -1.286
# - density of states at the Fermi level (states/eV/cell) = 5.8
# - magnetic moment (μB/atom) = 0.00

=====

No. 3
# LiSbI2N (PBE, optimized geometry)
data_LiSbI2N
_cell_length_a 5.4435
_cell_length_b 5.4435
_cell_length_c 4.5003
_cell_angle_alpha 90.00
_cell_angle_beta 90.00
_cell_angle_gamma 90.00
_symmetry_space_group_name_H-M 'P 4/m m m'
_symmetry_Int_Tables_number 123
_symmetry_space_group_name_Hall '-P 4 2'
loop_
_atom_site_label
_atom_site_type_symbol
_atom_site_fract_x
_atom_site_fract_y
_atom_site_fract_z
Li1 Li 0.0000 0.0000 0.0000
Sb1 Sb 0.5000 0.5000 0.0000
I1 I 0.0000 0.5000 0.5000
N1 N 0.5000 0.5000 0.5000
# - formation energy without anion corrections (eV per atom) = 0.542
# - density of states at the Fermi level (states/eV/cell) = 3.0
# - magnetic moment (μB/atom) = 0.00

=====

No. 4
# Fe2NiRuN (PBE, optimized geometry)
data_Fe2NiRuN
_cell_length_a 3.8438
_cell_length_b 3.8438
_cell_length_c 3.7594
_cell_angle_alpha 90.00
_cell_angle_beta 90.00
_cell_angle_gamma 90.00
_symmetry_space_group_name_H-M 'P 4/m m m'
_symmetry_Int_Tables_number 123
_symmetry_space_group_name_Hall '-P 4 2'
loop_
_atom_site_label
_atom_site_type_symbol
_atom_site_fract_x
_atom_site_fract_y
_atom_site_fract_z
Fe1 Fe 0.0000 0.5000 0.0000
Ni1 Ni 0.0000 0.0000 0.5000
Ru1 Ru 0.5000 0.5000 0.5000
N1 N 0.0000 0.0000 0.0000
# - formation energy without anion corrections (eV per atom) = 0.105
# - density of states at the Fermi level (states/eV/cell) = 3.7
# - magnetic moment (μB/atom) = 1.34

=====

No. 5
# PmAlGa2S6 (PBE, optimized geometry)
data_PmAlGa2S6
_cell_length_a 12.9811
_cell_length_b 10.9234
_cell_length_c 7.1926
_cell_angle_alpha 90.00
_cell_angle_beta 114.22
_cell_angle_gamma 90.00
_symmetry_space_group_name_H-M 'C 1 2/c 1'
_symmetry_Int_Tables_number 15
_symmetry_space_group_name_Hall '-C 2yc'
loop_
_atom_site_label
_atom_site_type_symbol
_atom_site_fract_x
_atom_site_fract_y
_atom_site_fract_z
Pm1 Pm 0.0000 0.1656 0.2500
Al1 Al 0.0000 0.1851 0.7500
Ga1 Ga 0.1888 0.4411 0.1883
S1 S 0.1114 0.0592 0.6539
S2 S 0.1296 0.2514 0.0478
S3 S 0.1409 0.4034 0.4582
# - formation energy without anion corrections (eV per atom) = -1.037
# - density of states at the Fermi level (states/eV/cell) = 0.0
# - magnetic moment (μB/atom) = 0.00

=====

No. 6
# Ba2BiAsPd6 (PBE, optimized geometry)
data_Ba2BiAsPd6
_cell_length_a 11.7503
_cell_length_b 6.7875
_cell_length_c 7.2566
_cell_angle_alpha 90.00
_cell_angle_beta 122.63
_cell_angle_gamma 90.00
_symmetry_space_group_name_H-M 'C 1 2/m 1'
_symmetry_Int_Tables_number 12
_symmetry_space_group_name_Hall '-C 2y'
loop_
_atom_site_label
_atom_site_type_symbol
_atom_site_fract_x
_atom_site_fract_y
_atom_site_fract_z
Ba1 Ba 0.2219 0.0000 0.1655
Bi1 Bi 0.0000 0.5000 0.0000
As1 As 0.0000 0.0000 0.5000
Pd1 Pd 0.0475 0.2888 0.3527
Pd2 Pd 0.2419 0.0000 0.6483
# - formation energy (kJ/mol of formula units) = -533
# - density of states at the Fermi level (states/eV/cell) = 12.3
# - magnetic moment (μB/atom) = 0.00